This record from Alexandria via LeMat-Bulk describes an optimized crystal structure of Sr2TbInAu6. The functional is PBE.

Values from the calculation:
Its magnetic moment is 0.00 μB/cell. The calculation puts the raw total energy at -3.29 eV/atom. Its energy relative to the elements is -246.8 meV/atom.

Structure (extended XYZ):
```
10
Lattice="-4.193 -4.534 4.511 -3.878 -2.487 -6.105 -0.439 -7.495 -1.458" Properties=species:S:1:pos:R:3 pbc="T T T"
In 0.000 0.000 0.000
Au -2.209 -5.534 -1.133
Au -1.987 -1.728 -0.392
Au -6.300 -8.983 -1.919
Au -6.523 -12.788 -2.659
Au -4.116 -4.030 1.898
Au -3.955 -2.991 -3.492
Tb -4.035 -3.511 -0.797
Sr -4.176 -6.747 -4.180
Sr -4.334 -7.770 1.128
```

This record from Alexandria via LeMat-Bulk describes an optimized crystal structure of CoAs2Rh. The functional is PBE.

Values from the calculation:
Its magnetic moment is 0.53 μB/cell. The calculation puts the raw total energy at -6.03 eV/atom. Its energy relative to the elements is -95.6 meV/atom.

Structure (extended XYZ):
```
4
Lattice="7.583 -0.010 -0.006 6.992 2.934 -0.006 6.992 1.403 2.577" Properties=species:S:1:pos:R:3 pbc="T T T"
Rh 16.175 3.246 1.924
As 10.888 2.185 1.295
As 21.461 4.307 2.553
Co 5.392 1.082 0.641
```

This record from Alexandria via LeMat-Bulk describes an optimized crystal structure of Ce2SnHg. The functional is PBE.

Values from the calculation:
Its magnetic moment is 4.86 μB/cell. The calculation puts the raw total energy at -4.50 eV/atom. Its energy relative to the elements is -459.7 meV/atom.

Structure (extended XYZ):
```
8
Lattice="6.780 0.000 0.000 3.390 5.741 -0.042 3.390 1.089 5.637" Properties=species:S:1:pos:R:3 pbc="T T T"
Ce 5.085 2.400 4.339
Sn 6.780 1.573 1.563
Ce 8.475 4.429 1.256
Hg 3.390 1.559 1.579
Hg 10.170 5.270 4.016
Sn 6.780 5.256 4.032
Ce 5.085 4.429 1.256
Ce 8.475 2.400 4.339
```

This record from Alexandria via LeMat-Bulk describes an optimized crystal structure of YRe2Pb. The functional is PBE.

Values from the calculation:
Its magnetic moment is 0.00 μB/cell. The calculation puts the raw total energy at -8.08 eV/atom. Its energy relative to the elements is 683.3 meV/atom.

Structure (extended XYZ):
```
4
Lattice="-0.333 4.222 0.313 -2.069 0.112 -3.705 -3.753 -0.450 2.082" Properties=species:S:1:pos:R:3 pbc="T T T"
Y -2.043 1.886 1.198
Re 0.000 0.000 0.000
Pb -2.911 -0.169 -0.812
Re -1.201 2.167 -1.696
```

> Which formula does entry 4 have?

YRe2Pb

> Among the records above, which one has the lowest energy relative to the elements?

Ce2SnHg

> What is the formula in the first record?

Sr2TbInAu6

> Among the records above, which one has the highest energy relative to the elements?

YRe2Pb